A plane-wave DFT calculation with PBE was carried out for a relaxed La2CuSb3Pd4 crystal.

Cell lengths 4.5729, 4.5729, 10.5385 Å; angles 90.00, 90.00, 90.00 degrees
Fractional positions:
La: 0.0000 0.5000 0.2498
La: 0.5000 0.0000 0.7502
Cu: 0.0000 0.0000 0.5000
Sb: 0.0000 0.5000 0.8643
Sb: 0.5000 0.0000 0.1357
Sb: 0.5000 0.5000 0.5000
Pd: 0.0000 0.0000 0.0000
Pd: 0.0000 0.5000 0.6178
Pd: 0.5000 0.0000 0.3822
Pd: 0.5000 0.5000 0.0000

Properties
Fermi-level density of states (states/eV/f.u.): 5.1
Final energy (eV per cell): -55.4
Mass density (Mg/m³): 8.53
Space-group type: P-4m2, No. 115
Energy relative to the elements, uncorrected (kcal/mol of atoms): -19.11